[1]
The following is a PBE calculation of a relaxed structure of PrCdGe2, from Alexandria.

a b c (Å): 4.618 4.618 4.247
angles (deg): 90.00 90.00 90.00
Element x y z (fractional)
Pr  0.000  0.000  0.000
Cd  0.500  0.500  0.000
Ge  0.000  0.500  0.500
Ge  0.500  0.000  0.500

Computed properties:
Fermi-level density of states: 1.398 states/eV/cell
Offset from the most stable computed form: 0.00 eV per formula unit
Total magnetic moment: 0.000 μB per cell
E_form: -0.414 eV/atom
Space-group type: No. 123
Raw total energy: -4.1463 eV per atom


[2]
The following is a PBE calculation of a relaxed structure of Gd3DyN, from Alexandria.

a b c (Å): 5.013 5.013 5.013
angles (deg): 90.00 90.00 90.00
Element x y z (fractional)
Gd  0.000  0.000  0.500
Gd  0.000  0.500  0.000
Gd  0.500  0.000  0.000
Dy  0.500  0.500  0.500
N  0.000  0.000  0.000

Computed properties:
Fermi-level density of states: 6.641 states/eV/cell
Total magnetic moment: 22.670 μB per cell
Space-group type: No. 221
Formation energy (no corrections): -0.505 eV/atom
Raw total energy: -11.5391 eV per atom